No. 1
LiBeCoC2 after structural relaxation, computed with PBE.

Cell: 3.4940 3.8547 3.4940 Å, 90.00 90.00 90.00°
Last column: nearest neighbours and their distance in Å.
Positions (direct):
Be 0.0000 0.0000 0.0000  4 C 1.75, 2 Co 1.93
C 0.0000 0.0000 0.5000  2 Be 1.75
C 0.5000 0.0000 0.0000  2 Be 1.75
Co 0.0000 0.5000 0.0000  2 Be 1.93
Li 0.5000 0.5000 0.5000  4 Co 2.47, 8 C 2.60

Values from the calculation:
For the total energy, the calculation gives -4.75 eV/atom. Its spin magnetization is 0.9 μB/f.u.

***

No. 2
LiBe2CoC after structural relaxation, computed with PBE.

Cell: 3.7176 3.7195 3.7176 Å, 90.00 90.00 90.00°
Last column: nearest neighbours and their distance in Å.
Positions (direct):
Be 0.0000 0.0000 0.5000  2 Li 1.86
Be 0.5000 0.0000 0.0000  2 Li 1.86
C 0.5000 0.5000 0.5000  4 Co 2.63, 8 Be 2.63
Co 0.0000 0.5000 0.0000  2 Li 1.86
Li 0.0000 0.0000 0.0000  4 Be 1.86, 2 Co 1.86

Values from the calculation:
For the total energy, the calculation gives -3.16 eV/atom. Its spin magnetization is 1.1 μB/f.u.

***

No. 3
BeCoMoC2 after structural relaxation, computed with PBE.

Cell: 3.7034 3.6914 3.7034 Å, 90.00 90.00 90.00°
Last column: nearest neighbours and their distance in Å.
Positions (direct):
Be 0.0000 0.5000 0.0000  2 Co 1.85
Mo 0.5000 0.5000 0.5000  8 C 2.61, 4 Be 2.62
Co 0.0000 0.0000 0.0000  2 Be 1.85, 4 C 1.85
C 0.0000 0.0000 0.5000  2 Co 1.85
C 0.5000 0.0000 0.0000  2 Co 1.85

Values from the calculation:
For the total energy, the calculation gives -6.52 eV/atom. Its spin magnetization is 2.0 μB/f.u.

***

No. 4
Be2CoNiC after structural relaxation, computed with PBE.

Cell: 3.9279 3.4816 3.9279 Å, 90.00 90.00 90.00°
Last column: nearest neighbours and their distance in Å.
Positions (direct):
Ni 0.5000 0.5000 0.5000  8 Be 2.62, 4 C 2.78
C 0.0000 0.5000 0.0000  2 Co 1.74
Co 0.0000 0.0000 0.0000  2 C 1.74
Be 0.0000 0.0000 0.5000  2 Co 1.96
Be 0.5000 0.0000 0.0000  2 Co 1.96

Values from the calculation:
For the total energy, the calculation gives -5.12 eV/atom. Its spin magnetization is 0.0 μB/f.u.

***

No. 5
PaBeCoC after structural relaxation, computed with PBE.

Cell: 3.6351 3.6351 7.7180 Å, 90.00 90.00 90.00°
Last column: nearest neighbours and their distance in Å.
Positions (direct):
Pa 0.0000 0.5000 0.8245  5 C 2.32-2.60
Pa 0.5000 0.0000 0.1755  5 C 2.32-2.60
Be 0.0000 0.5000 0.3506  1 C 1.74
Be 0.5000 0.0000 0.6494  1 C 1.74
Co 0.0000 0.0000 0.5000  4 Be 2.15
Co 0.5000 0.5000 0.5000  4 Be 2.15
C 0.5000 0.0000 0.8746  1 Be 1.74
C 0.0000 0.5000 0.1254  1 Be 1.74

Values from the calculation:
For the total energy, the calculation gives -7.69 eV/atom. Its spin magnetization is 0.1 μB/f.u.

***

No. 6
PuBeCoC after structural relaxation, computed with PBE.

Cell: 3.5403 3.5403 8.0385 Å, 90.00 90.00 90.00°
Last column: nearest neighbours and their distance in Å.
Positions (direct):
Pu 0.0000 0.5000 0.8357  5 C 2.31-2.53
Pu 0.5000 0.0000 0.1643  5 C 2.31-2.53
Be 0.0000 0.5000 0.3357  1 C 1.71
Be 0.5000 0.0000 0.6643  1 C 1.71
Co 0.0000 0.0000 0.5000  4 Be 2.21
Co 0.5000 0.5000 0.5000  4 Be 2.21
C 0.5000 0.0000 0.8775  1 Be 1.71
C 0.0000 0.5000 0.1225  1 Be 1.71

Values from the calculation:
For the total energy, the calculation gives -8.62 eV/atom. Its spin magnetization is 3.4 μB/f.u.

***

No. 7
BeCoRuC2 after structural relaxation, computed with PBE.

Cell: 3.8933 4.2366 3.8933 Å, 90.00 90.00 90.00°
Last column: nearest neighbours and their distance in Å.
Positions (direct):
Ru 0.0000 0.0000 0.0000  4 C 1.95, 2 Be 2.12
C 0.0000 0.0000 0.5000  2 Ru 1.95
C 0.5000 0.0000 0.0000  2 Ru 1.95
Co 0.5000 0.5000 0.5000  4 Be 2.75, 8 C 2.88
Be 0.0000 0.5000 0.0000  2 Ru 2.12

Values from the calculation:
For the total energy, the calculation gives -6.01 eV/atom. Its spin magnetization is 1.7 μB/f.u.

***

No. 8
Sc2BeCoC after structural relaxation, computed with PBE.

Cell: 4.5455 4.5455 3.3359 Å, 90.00 90.00 90.00°
Last column: nearest neighbours and their distance in Å.
Positions (direct):
Sc 0.0000 0.5000 0.0000  2 C 2.27
Sc 0.5000 0.0000 0.0000  2 C 2.27
Be 0.0000 0.0000 0.5000  2 C 1.67
C 0.0000 0.0000 0.0000  2 Be 1.67
Co 0.5000 0.5000 0.5000  8 Sc 2.82

Values from the calculation:
Its spin magnetization is 0.0 μB/f.u. As for the energy relative to the lowest polymorph listed for this composition: 0.619 kcal/mol of atoms.

***

No. 9
Sc2BeCoC after structural relaxation, computed with PBE.

Cell: 4.5091 4.5091 3.5830 Å, 90.00 90.00 90.00°
Last column: nearest neighbours and their distance in Å.
Positions (direct):
Sc 0.0000 0.5000 0.0000  2 C 2.25
Sc 0.5000 0.0000 0.0000  2 C 2.25
Be 0.5000 0.5000 0.5000  8 Sc 2.88, 4 Co 3.19
C 0.0000 0.0000 0.0000  2 Co 1.79
Co 0.0000 0.0000 0.5000  2 C 1.79

Values from the calculation:
Its spin magnetization is 0.0 μB/f.u. As for the energy relative to the lowest polymorph listed for this composition: 0.000 kcal/mol of atoms.

***

No. 10
SrBe2CoC after structural relaxation, computed with PBE.

Cell: 4.1844 4.1844 3.8009 Å, 90.00 90.00 90.00°
Last column: nearest neighbours and their distance in Å.
Positions (direct):
Sr 0.5000 0.5000 0.5000  8 Be 2.83, 4 C 2.96
C 0.0000 0.0000 0.5000  2 Co 1.90
Co 0.0000 0.0000 0.0000  2 C 1.90, 4 Be 2.09
Be 0.0000 0.5000 0.0000  2 Co 2.09
Be 0.5000 0.0000 0.0000  2 Co 2.09

Values from the calculation:
For the total energy, the calculation gives -4.64 eV/atom. Its spin magnetization is 0.0 μB/f.u.

***

No. 11
TbBeCo2C after structural relaxation, computed with PBE.

Cell: 3.7012 5.3591 6.6817 Å, 90.00 90.00 110.20°
Last column: nearest neighbours and their distance in Å.
Positions (direct):
Tb 0.4483 0.8966 0.7500  4 C 2.55, 1 Be 2.81
Tb 0.5517 0.1034 0.2500  4 C 2.55, 1 Be 2.81
Be 0.7280 0.4561 0.7500  6 Co 2.31-2.32
Be 0.2720 0.5439 0.2500  6 Co 2.31-2.32
Co 0.1708 0.3416 0.9384  1 C 1.77
Co 0.8292 0.6584 0.0616  1 C 1.77
Co 0.1708 0.3416 0.5616  1 C 1.77
Co 0.8292 0.6584 0.4384  1 C 1.77
C 0.0000 0.0000 0.0000  2 Co 1.77
C 0.0000 0.0000 0.5000  2 Co 1.77

Values from the calculation:
For the total energy, the calculation gives -6.61 eV/atom. Its spin magnetization is 0.0 μB/f.u.

***

No. 12
ThBeCoC after structural relaxation, computed with PBE.

Cell: 3.7336 3.7336 8.1605 Å, 90.00 90.00 90.00°
Last column: nearest neighbours and their distance in Å.
Positions (direct):
Th 0.0000 0.5000 0.8300  5 C 2.49-2.66
Th 0.5000 0.0000 0.1700  5 C 2.49-2.66
Be 0.0000 0.5000 0.3485  1 C 1.74
Be 0.5000 0.0000 0.6515  1 C 1.74
Co 0.0000 0.0000 0.5000  4 Be 2.24
Co 0.5000 0.5000 0.5000  4 Be 2.24
C 0.5000 0.0000 0.8645  1 Be 1.74
C 0.0000 0.5000 0.1355  1 Be 1.74

Values from the calculation:
For the total energy, the calculation gives -7.07 eV/atom. Its spin magnetization is 0.6 μB/f.u.

***

No. 13
BeCo2WC after structural relaxation, computed with PBE.

Cell: 4.4187 4.3894 4.4187 Å, 90.00 90.00 90.00°
Last column: nearest neighbours and their distance in Å.
Positions (direct):
Be 0.0000 0.5000 0.0000  2 W 2.19
C 0.5000 0.5000 0.5000  8 Co 3.11, 4 Be 3.12
Co 0.0000 0.0000 0.5000  2 W 2.21
Co 0.5000 0.0000 0.0000  2 W 2.21
W 0.0000 0.0000 0.0000  2 Be 2.19, 4 Co 2.21

Values from the calculation:
For the total energy, the calculation gives -5.23 eV/atom. Its spin magnetization is 1.3 μB/f.u.

***

No. 14
Y2BeCoC after structural relaxation, computed with PBE.

Cell: 4.9490 4.9490 3.3837 Å, 90.00 90.00 90.00°
Last column: nearest neighbours and their distance in Å.
Positions (direct):
Y 0.0000 0.5000 0.0000  2 C 2.47
Y 0.5000 0.0000 0.0000  2 C 2.47
Be 0.0000 0.0000 0.5000  2 C 1.69
C 0.0000 0.0000 0.0000  2 Be 1.69
Co 0.5000 0.5000 0.5000  8 Y 3.00

Values from the calculation:
Its spin magnetization is 0.2 μB/f.u. As for the energy relative to the lowest polymorph listed for this composition: 1.479 kcal/mol of atoms.

***

No. 15
Y2BeCoC after structural relaxation, computed with PBE.

Cell: 4.9347 4.9347 3.5995 Å, 90.00 90.00 90.00°
Last column: nearest neighbours and their distance in Å.
Positions (direct):
Y 0.0000 0.5000 0.0000  2 C 2.47
Y 0.5000 0.0000 0.0000  2 C 2.47
Be 0.5000 0.5000 0.5000  8 Y 3.05
C 0.0000 0.0000 0.0000  2 Co 1.80
Co 0.0000 0.0000 0.5000  2 C 1.80

Values from the calculation:
Its spin magnetization is 0.0 μB/f.u. As for the energy relative to the lowest polymorph listed for this composition: 0.000 kcal/mol of atoms.

***

No. 16
BeZnCo2C after structural relaxation, computed with PBE.

Cell: 3.7479 3.7479 3.5288 Å, 90.00 90.00 90.00°
Last column: nearest neighbours and their distance in Å.
Positions (direct):
Be 0.0000 0.0000 0.5000  2 C 1.76
Zn 0.5000 0.5000 0.5000  8 Co 2.57, 4 Be 2.65
Co 0.0000 0.5000 0.0000  2 C 1.87
Co 0.5000 0.0000 0.0000  2 C 1.87
C 0.0000 0.0000 0.0000  2 Be 1.76, 4 Co 1.87

Values from the calculation:
For the total energy, the calculation gives -5.69 eV/atom. Its spin magnetization is 0.0 μB/f.u.

***

No. 17
BeCrC2 after structural relaxation, computed with PBE.

Cell: 4.3068 4.3068 5.2438 Å, 65.75 65.75 90.00°
Last column: nearest neighbours and their distance in Å.
Positions (direct):
Cr 0.0000 0.0000 0.0000  4 C 1.84
Cr 0.7500 0.2500 0.5000  4 C 1.84
C 0.6319 0.1250 0.2500  2 Cr 1.84, 2 Be 1.88
C 0.1181 0.6250 0.2500  2 Cr 1.84, 2 Be 1.88
C 0.3750 0.3681 0.7500  2 Cr 1.84, 2 Be 1.88
C 0.8750 0.8819 0.7500  2 Cr 1.84, 2 Be 1.88
Be 0.5000 0.5000 0.0000  4 C 1.88
Be 0.2500 0.7500 0.5000  4 C 1.88

Values from the calculation:
For the total energy, the calculation gives -7.28 eV/atom. Its spin magnetization is 0.0 μB/f.u.

***

No. 18
BeCr3C after structural relaxation, computed with PBE.

Cell: 3.7841 3.7841 3.7841 Å, 90.00 90.00 90.00°
Last column: nearest neighbours and their distance in Å.
Positions (direct):
Cr 0.0000 0.5000 0.0000  2 C 1.89
Cr 0.0000 0.0000 0.5000  2 C 1.89
Cr 0.5000 0.0000 0.0000  2 C 1.89
C 0.0000 0.0000 0.0000  6 Cr 1.89
Be 0.5000 0.5000 0.5000  12 Cr 2.68

Values from the calculation:
Its spin magnetization is 0.0 μB/f.u. As for the energy relative to the lowest polymorph listed for this composition: 0.000 kcal/mol of atoms.

***

No. 19
Be3CrC after structural relaxation, computed with PBE.

Cell: 3.5169 3.5169 3.5169 Å, 90.00 90.00 90.00°
Last column: nearest neighbours and their distance in Å.
Positions (direct):
Cr 0.5000 0.5000 0.5000  12 Be 2.49
C 0.0000 0.0000 0.0000  6 Be 1.76
Be 0.0000 0.5000 0.0000  2 C 1.76
Be 0.0000 0.0000 0.5000  2 C 1.76
Be 0.5000 0.0000 0.0000  2 C 1.76

Values from the calculation:
For the total energy, the calculation gives -5.36 eV/atom. Its spin magnetization is 0.0 μB/f.u.

***

No. 20
Be2CrC after structural relaxation, computed with PBE.

Cell: 5.9533 5.9533 4.6392 Å, 50.09 50.09 90.00°
Last column: nearest neighbours and their distance in Å.
Positions (direct):
Cr 0.0000 0.0000 0.0000  2 C 1.95
Cr 0.7500 0.2500 0.5000  2 C 1.95
C 0.5000 0.5000 0.0000  4 Be 1.82, 2 Cr 1.95
C 0.2500 0.7500 0.5000  4 Be 1.82, 2 Cr 1.95
Be 0.5308 0.1250 0.2500  2 C 1.82
Be 0.2192 0.6250 0.2500  2 C 1.82
Be 0.3750 0.4692 0.7500  2 C 1.82
Be 0.8750 0.7808 0.7500  2 C 1.82

Values from the calculation:
For the total energy, the calculation gives -6.31 eV/atom. Its spin magnetization is 0.0 μB/f.u.